Entry 1:
Density functional theory data (PBE) for K2CrBiTe after structural relaxation.

Unit cell a=6.4898 b=6.4898 c=4.8939 alpha=90.00 beta=90.00 gamma=90.00
Closest atoms and distances in Å follow each position.
Fractional coordinates of all 5 atoms:
K 0.5000 0.0000 0.0000  2 Te 3.24
K 0.0000 0.5000 0.0000  2 Te 3.24
Cr 0.0000 0.0000 0.5000  2 Te 2.45
Te 0.0000 0.0000 0.0000  2 Cr 2.45
Bi 0.5000 0.5000 0.5000  8 K 4.06

## Properties
- formation energy (no corrections) (eV/atom) = 0.48
- final energy (eV per cell) = -16.5



Entry 2:
Density functional theory data (PBE) for LaTcP2Os after structural relaxation.

Unit cell a=5.0897 b=4.8111 c=5.0897 alpha=90.00 beta=90.00 gamma=90.00
Closest atoms and distances in Å follow each position.
Fractional coordinates of all 5 atoms:
P 0.0000 0.0000 0.5000  2 La 2.54
P 0.5000 0.0000 0.0000  2 La 2.54
Tc 0.5000 0.5000 0.5000  8 P 3.50, 4 Os 3.60
Os 0.0000 0.5000 0.0000  2 La 2.41
La 0.0000 0.0000 0.0000  2 Os 2.41, 4 P 2.54

## Properties
- excess energy over the best structure of this formula in the dataset (meV per atom) = 3345.5
- energy relative to the elements (eV/atom) = 2.477
- final energy (eV per cell) = -25.0



Entry 3:
Density functional theory data (PBE) for TmZn2Hg2 after structural relaxation.

Unit cell a=4.5170 b=4.5170 c=6.5485 alpha=69.90 beta=69.90 gamma=60.05
Closest atoms and distances in Å follow each position.
Fractional coordinates of all 5 atoms:
Hg 0.5842 0.0842 0.2456  3 Zn 2.84, 3 Tm 3.00, 1 Hg 3.06
Hg 0.4158 0.9158 0.7544  3 Zn 2.84, 3 Tm 3.00, 1 Hg 3.06
Tm 0.0000 0.5000 0.0000  6 Hg 3.00
Zn 0.8111 0.3111 0.5688  3 Zn 2.73-2.74, 3 Hg 2.84
Zn 0.1889 0.6889 0.4312  3 Zn 2.73-2.74, 3 Hg 2.84

## Properties
- energy relative to the elements (eV/atom) = -0.166
- final energy (eV per cell) = -8.5



Entry 4:
Density functional theory data (PBE) for Pm3Zn2Sn6 after structural relaxation.

Unit cell a=4.4970 b=4.4970 c=15.0476 alpha=98.59 beta=98.59 gamma=90.00
Closest atoms and distances in Å follow each position.
Fractional coordinates of all 11 atoms:
Zn 0.6417 0.6417 0.2834  5 Sn 2.64-2.90
Zn 0.3583 0.3583 0.7166  5 Sn 2.64-2.90
Sn 0.2685 0.2685 0.5370  1 Zn 2.64
Sn 0.9204 0.4204 0.8407  2 Zn 2.90, 4 Sn 3.18
Sn 0.5796 0.0796 0.1593  2 Zn 2.90, 4 Sn 3.18
Sn 0.0796 0.5796 0.1593  2 Zn 2.90, 4 Sn 3.18
Sn 0.4204 0.9204 0.8407  2 Zn 2.90, 4 Sn 3.18
Sn 0.7315 0.7315 0.4630  1 Zn 2.64
Pm 0.1626 0.1626 0.3253  5 Sn 3.11-3.32, 4 Zn 3.24
Pm 0.8374 0.8374 0.6747  5 Sn 3.11-3.32, 4 Zn 3.24
Pm 0.0000 0.0000 0.0000  8 Sn 3.25

## Properties
- energy relative to the elements (eV/atom) = -0.445
- final energy (eV per cell) = -45.7



Entry 5:
Density functional theory data (PBE) for Sr3Sc4O9 after structural relaxation.

Unit cell a=5.7185 b=5.7185 c=8.6004 alpha=70.58 beta=70.58 gamma=60.00
Closest atoms and distances in Å follow each position.
Fractional coordinates of all 16 atoms:
O 0.8664 0.2968 0.4240  3 Sc 2.08-2.32
O 0.4185 0.9789 0.7491  2 Sc 2.08-2.09
O 0.5485 0.9585 0.0839  3 Sc 2.06-2.24
O 0.9585 0.4091 0.0839  3 Sc 2.06-2.24
O 0.8535 0.4185 0.7491  2 Sc 2.08-2.09
O 0.9789 0.8535 0.7491  2 Sc 2.08-2.09
O 0.4091 0.5485 0.0839  3 Sc 2.06-2.24
O 0.4128 0.8664 0.4240  3 Sc 2.08-2.32
O 0.2968 0.4128 0.4240  3 Sc 2.08-2.32
Sr 0.8331 0.8331 0.5008  6 O 2.59-2.60
Sr 0.4265 0.4265 0.7205  3 O 2.51
Sr 0.0022 0.0022 0.9934  6 O 2.56-2.58
Sc 0.6989 0.6989 0.9034  6 O 2.08-2.17
Sc 0.2609 0.2609 0.2173  3 O 2.06
Sc 0.5741 0.5741 0.2776  6 O 2.08-2.24
Sc 0.1351 0.1351 0.5947  6 O 2.09-2.13

## Properties
- formation energy (no corrections) (eV/atom) = -3.24
- final energy (eV per cell) = -126.8



Entry 6:
Density functional theory data (PBE) for GaGe2As2 after structural relaxation.

Unit cell a=4.3999 b=4.3999 c=6.9145 alpha=71.45 beta=71.45 gamma=90.00
Closest atoms and distances in Å follow each position.
Fractional coordinates of all 5 atoms:
Ge 0.2500 0.7500 0.5000  4 As 2.68
Ge 0.7500 0.2500 0.5000  4 As 2.68
As 0.3739 0.3739 0.2523  4 Ge 2.68
As 0.6261 0.6261 0.7477  4 Ge 2.68
Ga 0.0000 0.0000 0.0000  8 As 3.48, 8 Ge 3.79

## Properties
- excess energy over the best structure of this formula in the dataset (meV per atom) = 31.6
- energy relative to the elements (eV/atom) = 0.262
- final energy (eV per cell) = -20.3



Entry 7:
Density functional theory data (PBE) for YBNO2 after structural relaxation.

Unit cell a=4.3793 b=2.7460 c=4.3793 alpha=90.00 beta=90.00 gamma=90.00
Closest atoms and distances in Å follow each position.
Fractional coordinates of all 5 atoms:
B 0.0000 0.5000 0.0000  2 N 1.37
O 0.5000 0.0000 0.0000  2 N 2.19
O 0.0000 0.0000 0.5000  2 N 2.19
N 0.0000 0.0000 0.0000  2 B 1.37
Y 0.5000 0.5000 0.5000  8 O 2.58, 2 Y 2.75

## Properties
- formation energy (no corrections) (eV/atom) = -0.58
- final energy (eV per cell) = -34.3



Entry 8:
Density functional theory data (PBE) for ErZnInPt after structural relaxation.

Unit cell a=4.7888 b=4.7888 c=4.7888 alpha=60.00 beta=60.00 gamma=60.00
Closest atoms and distances in Å follow each position.
Fractional coordinates of all 4 atoms:
Pt 0.7500 0.7500 0.7500  4 In 2.93, 4 Er 2.93
In 0.0000 0.0000 0.0000  4 Zn 2.93, 4 Pt 2.93
Zn 0.2500 0.2500 0.2500  4 Er 2.93, 4 In 2.93
Er 0.5000 0.5000 0.5000  4 Pt 2.93, 4 Zn 2.93

## Properties
- energy relative to the elements (eV/atom) = -0.675
- final energy (eV per cell) = -17.3



Entry 9:
Density functional theory data (PBE) for RbBaLa2Ir after structural relaxation.

Unit cell a=5.6264 b=5.6264 c=6.9417 alpha=90.00 beta=90.00 gamma=90.00
Closest atoms and distances in Å follow each position.
Fractional coordinates of all 5 atoms:
La 0.5000 0.0000 0.0000  2 Ir 2.81
La 0.0000 0.5000 0.0000  2 Ir 2.81
Rb 0.0000 0.0000 0.5000  2 Ir 3.47
Ba 0.5000 0.5000 0.5000  4 Rb 3.98
Ir 0.0000 0.0000 0.0000  4 La 2.81

## Properties
- excess energy over the best structure of this formula in the dataset (meV per atom) = 137.5
- energy relative to the elements (eV/atom) = 0.001
- final energy (eV per cell) = -21.6



Entry 10:
Density functional theory data (PBE) for MgTl2Ru after structural relaxation.

Unit cell a=4.0668 b=4.4327 c=4.4327 alpha=90.00 beta=90.00 gamma=90.00
Closest atoms and distances in Å follow each position.
Fractional coordinates of all 4 atoms:
Ru 0.5000 0.0000 0.5000  8 Tl 3.01, 4 Mg 3.13
Tl 0.0000 0.5000 0.5000  4 Ru 3.01, 4 Mg 3.01, 4 Tl 3.13
Tl 0.0000 0.0000 0.0000  4 Ru 3.01, 4 Mg 3.01, 4 Tl 3.13
Mg 0.5000 0.5000 0.0000  8 Tl 3.01, 4 Ru 3.13

## Properties
- excess energy over the best structure of this formula in the dataset (meV per atom) = 163.2
- energy relative to the elements (eV/atom) = 0.387
- final energy (eV per cell) = -14.1



Entry 11:
Density functional theory data (PBE) for MgMnHg2 after structural relaxation.

Unit cell a=4.8218 b=4.8218 c=4.8218 alpha=60.00 beta=60.00 gamma=60.00
Closest atoms and distances in Å follow each position.
Fractional coordinates of all 4 atoms:
Mn 0.2500 0.2500 0.2500  4 Hg 2.95, 4 Mg 2.95
Hg 0.0000 0.0000 0.0000  4 Hg 2.95, 4 Mn 2.95
Hg 0.7500 0.7500 0.7500  4 Hg 2.95, 4 Mg 2.95
Mg 0.5000 0.5000 0.5000  4 Hg 2.95, 4 Mn 2.95

## Properties
- energy relative to the elements (eV/atom) = 0.205
- final energy (eV per cell) = -10.5